# 1
# PrPa5N6

An optimized crystal structure of PrPa5N6 (PBE-GGA, Alexandria).

Cell: 6.1050 6.1146 6.1060 Å, 59.95 80.37 70.48°
Fractional coordinates of all 12 atoms:
N: 0.2603 0.5654 0.3473
N: 0.2553 0.2632 0.0000
N: 0.2603 0.9127 0.6527
N: 0.7397 0.4346 0.6527
N: 0.7447 0.7368 0.0000
N: 0.7397 0.0873 0.3473
Pa: 0.5000 0.5000 0.0000
Pa: 0.5000 0.1640 0.6720
Pa: 0.0000 0.3329 0.3341
Pa: 0.0000 0.6671 0.6659
Pa: 0.5000 0.8360 0.3280
Pr: 0.0000 0.0000 0.0000

Computed properties:
- space-group type = No. 12
- raw formation energy (meV per atom) = -1584
- magnetic moment (μB/f.u.) = 0.0



# 2
# Sm2Y3ThSe6

An optimized crystal structure of Sm2Y3ThSe6 (PBE-GGA, Alexandria).

Cell: 4.1160 8.3214 9.2832 Å, 103.90 102.81 90.00°
Fractional coordinates of all 12 atoms:
Sm: 0.8364 0.6721 0.6728
Sm: 0.1636 0.3279 0.3272
Se: 0.0026 0.7414 0.0051
Se: 0.3334 0.4125 0.6669
Se: 0.9974 0.2586 0.9949
Se: 0.3293 0.9211 0.6586
Se: 0.6707 0.0789 0.3414
Se: 0.6666 0.5875 0.3331
Th: 0.5000 0.0000 0.0000
Y: 0.8349 0.1659 0.6697
Y: 0.1651 0.8341 0.3303
Y: 0.5000 0.5000 0.0000

Computed properties:
- space-group type = No. 12
- raw formation energy (meV per atom) = -1737
- magnetic moment (μB/f.u.) = 0.0



# 3
# HPdCl3

An optimized crystal structure of HPdCl3 (PBE-GGA, Alexandria).

Cell: 5.9380 5.9381 7.4530 Å, 66.52 66.52 60.00°
Fractional coordinates of all 10 atoms:
H: 0.0695 0.0695 0.7915
H: 0.9305 0.9305 0.2085
Cl: 0.6136 0.9244 0.2274
Cl: 0.3864 0.0756 0.7726
Cl: 0.0757 0.7655 0.7726
Cl: 0.2345 0.6137 0.2274
Cl: 0.9243 0.2345 0.2274
Cl: 0.7655 0.3863 0.7726
Pd: 0.3334 0.3334 0.9998
Pd: 0.6666 0.6666 0.0002

Computed properties:
- ΔE to the lowest computed polymorph (kcal/mol of atoms) = 0.000
- space-group type = No. 148
- magnetic moment (μB/f.u.) = 2.0



# 4
# Li3Ho2Au4

An optimized crystal structure of Li3Ho2Au4 (PBE-GGA, Alexandria).

Cell: 4.4545 4.4618 10.5078 Å, 89.77 89.91 60.16°
Fractional coordinates of all 9 atoms:
Au: 0.6666 0.6676 0.9278
Au: 0.9999 0.0026 0.6351
Au: 0.3334 0.3324 0.0722
Au: 0.0001 0.9974 0.3649
Li: 0.0000 0.0000 0.0000
Li: 0.3334 0.3319 0.4455
Li: 0.6666 0.6681 0.5545
Ho: 0.3334 0.3348 0.7821
Ho: 0.6666 0.6652 0.2179

Computed properties:
- ΔE to the lowest computed polymorph (kcal/mol of atoms) = 0.000
- space-group type = No. 2
- E_form (eV/atom) = -0.628
- magnetic moment (μB/f.u.) = 0.0



# 5
# Dy12YTh7

An optimized crystal structure of Dy12YTh7 (PBE-GGA, Alexandria).

Cell: 9.9799 9.9799 9.9799 Å, 109.47 109.47 109.47°
Fractional coordinates of all 20 atoms:
Y: 0.0000 0.0000 0.0000
Th: 0.0000 0.5000 0.0000
Th: 0.5000 0.0000 0.0000
Th: 0.5000 0.0000 0.5000
Th: 0.5000 0.5000 0.5000
Th: 0.0000 0.0000 0.5000
Th: 0.0000 0.5000 0.5000
Th: 0.5000 0.5000 0.0000
Dy: 0.7458 0.4897 0.7439
Dy: 0.7439 0.7458 0.4897
Dy: 0.4897 0.7439 0.7458
Dy: 0.7458 0.0019 0.2561
Dy: 0.2561 0.2542 0.5103
Dy: 0.5103 0.2561 0.2542
Dy: 0.2561 0.7458 0.0019
Dy: 0.7439 0.2542 0.9981
Dy: 0.0019 0.2561 0.7458
Dy: 0.2542 0.5103 0.2561
Dy: 0.9981 0.7439 0.2542
Dy: 0.2542 0.9981 0.7439

Computed properties:
- space-group type = No. 204
- E_form (eV/atom) = 0.951
- magnetic moment (μB/f.u.) = 0.0



# 6
# CuRe2Pb

An optimized crystal structure of CuRe2Pb (PBE-GGA, Alexandria).

Cell: 2.8610 2.8610 9.6674 Å, 90.00 90.00 115.07°
Fractional coordinates of all 4 atoms:
Re: 0.5000 0.5000 0.2483
Re: 0.0000 0.0000 0.0359
Cu: 0.0000 0.0000 0.4677
Pb: 0.5000 0.5000 0.7481

Computed properties:
- ΔE to the lowest computed polymorph (kcal/mol of atoms) = 6.220
- space-group type = No. 35
- E_form (eV/atom) = 0.752
- magnetic moment (μB/f.u.) = 0.0



# 7
# HgAu2Br

An optimized crystal structure of HgAu2Br (PBE-GGA, Alexandria).

Cell: 7.0881 7.0881 7.0881 Å, 147.68 147.68 46.35°
Fractional coordinates of all 4 atoms:
Br: 0.2500 0.7500 0.5000
Au: 0.5000 0.5000 0.0000
Au: 0.0000 0.0000 0.0000
Hg: 0.7500 0.2500 0.5000

Computed properties:
- ΔE to the lowest computed polymorph (kcal/mol of atoms) = 4.912
- space-group type = No. 139
- raw formation energy (meV per atom) = 230
- magnetic moment (μB/f.u.) = 0.0



# 8
# HoScP2

An optimized crystal structure of HoScP2 (PBE-GGA, Alexandria).

Cell: 3.8773 3.8773 6.6971 Å, 73.14 73.14 60.04°
Fractional coordinates of all 4 atoms:
Sc: 0.0000 0.0000 0.0000
P: 0.2547 0.2547 0.2360
P: 0.7453 0.7453 0.7640
Ho: 0.5000 0.5000 0.5000

Computed properties:
- ΔE to the lowest computed polymorph (kcal/mol of atoms) = 0.000
- space-group type = No. 12
- E_form (eV/atom) = -1.539
- magnetic moment (μB/f.u.) = 0.0